This record from Alexandria via LeMat-Bulk describes a geometry-optimized LiTbPuO6 structure. The functional is PBE-GGA.

Computed properties:
E_tot ... -72.6 eV/cell
SG ... P312, No. 149
E_form (uncorrected) ... -21.93 eV/f.u.

Cell lengths 4.940, 5.310, 5.310 Å; angles 120.00, 90.00, 90.00 degrees
Fractional coordinates of all 9 atoms:
Li: 0.500 0.000 0.000
Tb: 0.000 0.333 0.667
Pu: 0.500 0.667 0.333
O: 0.724 0.672 0.644
O: 0.724 0.356 0.028
O: 0.724 0.972 0.328
O: 0.276 0.356 0.328
O: 0.276 0.672 0.028
O: 0.276 0.972 0.644